# 1
# Sm3Cd3Rh (GGA-PBE, relaxed)
# Space group: No. 227
# Total DFT energy (no corrections) in eV/atom: -3.90
# E_form in meV/atom: -435
data_Sm3Cd3Rh
_space_group_name_H-M_alt 'P 1'
_space_group_IT_number 1
_space_group_name_Hall 'P 1'
_cell_length_a 10.147
_cell_length_b 10.147
_cell_length_c 10.147
_cell_angle_alpha 60.00
_cell_angle_beta 60.00
_cell_angle_gamma 60.00
loop_
_atom_site_label
_atom_site_type_symbol
_atom_site_fract_x
_atom_site_fract_y
_atom_site_fract_z
_atom_site_occupancy
Sm1 Sm 0.082 0.082 0.668 1
Sm2 Sm 0.082 0.668 0.082 1
Sm3 Sm 0.082 0.668 0.668 1
Sm4 Sm 0.332 0.332 0.918 1
Sm5 Sm 0.332 0.918 0.332 1
Sm6 Sm 0.332 0.918 0.918 1
Sm7 Sm 0.668 0.082 0.082 1
Sm8 Sm 0.668 0.082 0.668 1
Sm9 Sm 0.668 0.668 0.082 1
Sm10 Sm 0.918 0.332 0.332 1
Sm11 Sm 0.918 0.332 0.918 1
Sm12 Sm 0.918 0.918 0.332 1
Cd1 Cd 0.000 0.500 0.500 1
Cd2 Cd 0.293 0.293 0.293 1
Cd3 Cd 0.293 0.293 0.621 1
Cd4 Cd 0.293 0.621 0.293 1
Cd5 Cd 0.379 0.707 0.707 1
Cd6 Cd 0.500 0.000 0.500 1
Cd7 Cd 0.500 0.500 0.000 1
Cd8 Cd 0.500 0.500 0.500 1
Cd9 Cd 0.621 0.293 0.293 1
Cd10 Cd 0.707 0.379 0.707 1
Cd11 Cd 0.707 0.707 0.379 1
Cd12 Cd 0.707 0.707 0.707 1
Rh1 Rh 0.000 0.000 0.000 1
Rh2 Rh 0.000 0.000 0.500 1
Rh3 Rh 0.000 0.500 0.000 1
Rh4 Rh 0.500 0.000 0.000 1


# 2
# Ga2Hg2Sb (GGA-PBE, relaxed)
# Space group: No. 139
# Total DFT energy (no corrections) in eV/atom: -1.97
# Energy above the lowest structure with this stoichiometry in meV/atom: 69
data_Ga2Hg2Sb
_space_group_name_H-M_alt 'P 1'
_space_group_IT_number 1
_space_group_name_Hall 'P 1'
_cell_length_a 7.762
_cell_length_b 7.762
_cell_length_c 7.762
_cell_angle_alpha 149.36
_cell_angle_beta 149.36
_cell_angle_gamma 43.88
loop_
_atom_site_label
_atom_site_type_symbol
_atom_site_fract_x
_atom_site_fract_y
_atom_site_fract_z
_atom_site_occupancy
Ga1 Ga 0.250 0.750 0.500 1
Ga2 Ga 0.750 0.250 0.500 1
Hg1 Hg 0.103 0.103 0.000 1
Hg2 Hg 0.897 0.897 0.000 1
Sb1 Sb 0.500 0.500 0.000 1


no.,volume (Å³ per atom)
1,26.39
2,24.22